[1]
# PBE TbNd2Sn2, relaxed
data_TbNd2Sn2
_chemical_formula_sum 'Tb2 Nd4 Sn4'
_cell_length_a 8.194
_cell_length_b 8.194
_cell_length_c 4.544
_cell_angle_alpha 90.00
_cell_angle_beta 90.00
_cell_angle_gamma 90.00
_symmetry_space_group_name_H-M 'P 4/m b m'
_symmetry_Int_Tables_number 127
_symmetry_space_group_name_Hall '-P 4 2ab'
loop_
_atom_site_label
_atom_site_type_symbol
_atom_site_fract_x
_atom_site_fract_y
_atom_site_fract_z
_atom_site_occupancy
Tb1 Tb 0.000 0.000 0.000 1
Nd1 Nd 0.171 0.329 0.500 1
Sn1 Sn 0.130 0.630 0.000 1
# polymorph energy (0 for the lowest one)	0.000	eV/atom


[2]
# PBE LiTcPb2, relaxed
data_LiTcPb2
_chemical_formula_sum 'Li2 Tc2 Pb4'
_cell_length_a 8.919
_cell_length_b 3.353
_cell_length_c 5.871
_cell_angle_alpha 90.00
_cell_angle_beta 101.61
_cell_angle_gamma 90.00
_symmetry_space_group_name_H-M 'C 1 2/m 1'
_symmetry_Int_Tables_number 12
loop_
_symmetry_equiv_pos_as_xyz
'x,y,z'
'-x,-y,-z'
'-x,y,-z'
'x,-y,z'
'x+1/2,y+1/2,z'
'-x+1/2,-y+1/2,-z'
'-x+1/2,y+1/2,-z'
'x+1/2,-y+1/2,z'
loop_
_atom_site_label
_atom_site_type_symbol
_atom_site_fract_x
_atom_site_fract_y
_atom_site_fract_z
_atom_site_occupancy
Li1 Li 0.000 0.000 0.000 1
Tc1 Tc 0.000 0.500 0.500 1
Pb1 Pb 0.242 0.000 0.734 1
# polymorph energy (0 for the lowest one)	0.114	eV/atom


[3]
# PBE KSbRhAu, relaxed
data_KSbRhAu
_chemical_formula_sum 'K2 Sb2 Rh2 Au2'
_cell_length_a 4.091
_cell_length_b 4.091
_cell_length_c 12.821
_cell_angle_alpha 90.00
_cell_angle_beta 90.00
_cell_angle_gamma 90.00
_symmetry_space_group_name_H-M 'P 4/n m m'
_symmetry_Int_Tables_number 129
loop_
_symmetry_equiv_pos_as_xyz
'x,y,z'
'-x,-y,-z'
'-y+1/2,x,z'
'y+1/2,-x,-z'
'-x+1/2,-y+1/2,z'
'x+1/2,y+1/2,-z'
'y,-x+1/2,z'
'-y,x+1/2,-z'
'x+1/2,-y,-z'
'-x+1/2,y,z'
'-y,-x,-z'
'y,x,z'
'-x,y+1/2,-z'
'x,-y+1/2,z'
'y+1/2,x+1/2,-z'
'-y+1/2,-x+1/2,z'
loop_
_atom_site_label
_atom_site_type_symbol
_atom_site_fract_x
_atom_site_fract_y
_atom_site_fract_z
_atom_site_occupancy
K1 K 0.250 0.250 0.209 1
Sb1 Sb 0.250 0.250 0.624 1
Rh1 Rh 0.250 0.750 0.500 1
Au1 Au 0.250 0.750 0.000 1
# raw formation energy	-0.36	eV/atom


no.,E (eV for the cell shown)
1,-51.4
2,-36.5
3,-34.6